Entry 1:
{"formula": "NaSb2TeIr", "functional": "PBE", "state": "relaxed", "e_form_raw_ev_per_atom": 0.1466, "vol_a3_per_atom": 31.0, "energy_ev_per_fu": -20.8, "polymorph_energy_kj_per_mol_atoms": 0.0, "spacegroup": "P4/mmm, No. 123", "magmom_total_mub_per_fu": 0.00, "lattice_angstrom": [[5.063, 0.000, 0.000], [0.000, 5.063, 0.000], [0.000, 0.000, 6.052]], "species": ["Na", "Sb", "Ir", "Te", "Sb"], "fractional_positions": [[0.500, 0.500, 0.500], [0.500, 0.000, 0.000], [0.000, 0.000, 0.000], [0.000, 0.000, 0.500], [0.000, 0.500, 0.000]]}

Entry 2:
{"formula": "NaSb2TeIr", "functional": "PBE", "state": "relaxed", "e_form_raw_ev_per_atom": 1.4670, "vol_a3_per_atom": 27.7, "energy_ev_per_fu": -14.2, "polymorph_energy_kj_per_mol_atoms": 127.4, "spacegroup": "P4/mmm, No. 123", "magmom_total_mub_per_fu": 0.00, "lattice_angstrom": [[-4.996, 0.803, -0.957], [-0.664, -5.048, -0.772], [-1.073, -0.634, 5.069]], "species": ["Ir", "Na", "Te", "Sb", "Sb"], "fractional_positions": [[0.500, 0.500, 0.500], [0.000, 0.000, 0.000], [0.000, 0.000, 0.500], [0.500, 0.000, 0.000], [0.000, 0.500, 0.000]]}

Entry 3:
{"formula": "NaSc2Ir", "functional": "PBE", "state": "relaxed", "vol_a3_per_atom": 30.7, "energy_ev_per_fu": -23.7, "spacegroup": "R-3m, No. 166", "ef_ev_per_fu": -0.9, "magmom_total_mub_per_fu": 0.00, "lattice_angstrom": [[2.206, 0.000, 9.702], [-1.103, 1.910, 9.702], [-1.103, -1.910, 9.702]], "species": ["Sc", "Sc", "Na", "Ir"], "fractional_positions": [[0.120, 0.120, 0.120], [0.880, 0.880, 0.880], [0.000, 0.000, 0.000], [0.500, 0.500, 0.500]]}

Entry 4:
{"formula": "Na3ScIr", "functional": "PBE", "state": "relaxed", "vol_a3_per_atom": 30.0, "energy_ev_per_fu": -14.1, "polymorph_energy_kj_per_mol_atoms": 0.0, "spacegroup": "Pm-3m, No. 221", "ef_ev_per_fu": 5.1, "magmom_total_mub_per_fu": 0.00, "lattice_angstrom": [[-5.235, 0.856, 0.354], [0.103, -1.484, 5.104], [0.920, 5.032, 1.445]], "species": ["Sc", "Na", "Ir", "Na", "Na"], "fractional_positions": [[0.500, 0.500, 0.500], [0.000, 0.000, 0.500], [0.000, 0.000, 0.000], [0.000, 0.500, 0.000], [0.500, 0.000, 0.000]]}

Entry 5:
{"formula": "NaSc2Ir2", "functional": "PBE", "state": "relaxed", "vol_a3_per_atom": 19.0, "energy_ev_per_fu": -34.5, "polymorph_energy_kj_per_mol_atoms": 0.0, "spacegroup": "P4/mbm, No. 127", "ef_ev_per_fu": -2.8, "magmom_total_mub_per_fu": 0.00, "lattice_angstrom": [[-3.969, 0.440, -6.758], [6.181, -2.967, -3.822], [-1.087, -2.848, 0.453]], "species": ["Ir", "Sc", "Na", "Sc", "Ir", "Sc", "Ir", "Na", "Sc", "Ir"], "fractional_positions": [[0.357, 0.857, 0.000], [0.352, 0.148, 0.500], [0.500, 0.500, 0.000], [0.648, 0.852, 0.500], [0.643, 0.143, 0.000], [0.148, 0.648, 0.500], [0.857, 0.643, 0.000], [0.000, 0.000, 0.000], [0.852, 0.352, 0.500], [0.143, 0.357, 0.000]]}

Entry 6:
{"formula": "NaSc2Ir2", "functional": "PBE", "state": "relaxed", "vol_a3_per_atom": 18.9, "energy_ev_per_fu": -34.3, "polymorph_energy_kj_per_mol_atoms": 3.7, "spacegroup": "P4/mbm, No. 127", "ef_ev_per_fu": -2.6, "magmom_total_mub_per_fu": 0.00, "lattice_angstrom": [[-6.550, -3.983, 1.998], [2.346, -0.062, 7.567], [-1.442, 2.606, 0.468]], "species": ["Sc", "Sc", "Na", "Ir", "Ir", "Sc", "Ir", "Ir", "Na", "Sc"], "fractional_positions": [[0.357, 0.857, 0.000], [0.643, 0.143, 0.000], [0.500, 0.500, 0.000], [0.148, 0.648, 0.500], [0.852, 0.352, 0.500], [0.143, 0.357, 0.000], [0.648, 0.852, 0.500], [0.352, 0.148, 0.500], [0.000, 0.000, 0.000], [0.857, 0.643, 0.000]]}

Entry 7:
{"formula": "NaSc2Ir", "functional": "PBE", "state": "relaxed", "vol_a3_per_atom": 23.9, "energy_ev_per_fu": -22.8, "spacegroup": "I-42d, No. 122", "ef_ev_per_fu": 0.0, "magmom_total_mub_per_fu": 0.00, "lattice_angstrom": [[-6.941, -2.763, -2.203], [3.534, -5.416, -4.340], [-1.700, -6.063, -0.806]], "species": ["Na", "Sc", "Na", "Sc", "Sc", "Ir", "Sc", "Ir"], "fractional_positions": [[0.250, 0.750, 0.500], [0.691, 0.125, 0.250], [0.500, 0.500, 0.000], [0.059, 0.625, 0.250], [0.875, 0.941, 0.750], [0.750, 0.250, 0.500], [0.375, 0.309, 0.750], [0.000, 0.000, 0.000]]}

Entry 8:
{"formula": "NaSc2Ir", "functional": "PBE", "state": "relaxed", "vol_a3_per_atom": 22.2, "energy_ev_per_fu": -21.6, "spacegroup": "R-3m, No. 166", "ef_ev_per_fu": 1.2, "magmom_total_mub_per_fu": 0.00, "lattice_angstrom": [[1.754, 0.000, 11.136], [-0.877, 1.519, 11.136], [-0.877, -1.519, 11.136]], "species": ["Na", "Ir", "Sc", "Sc"], "fractional_positions": [[0.500, 0.500, 0.500], [0.000, 0.000, 0.000], [0.073, 0.073, 0.073], [0.927, 0.927, 0.927]]}

Entry 9:
{"formula": "Na3ScIr", "functional": "PBE", "state": "relaxed", "vol_a3_per_atom": 30.5, "energy_ev_per_fu": -9.9, "polymorph_energy_kj_per_mol_atoms": 79.6, "spacegroup": "Pm-3m, No. 221", "ef_ev_per_fu": 9.2, "magmom_total_mub_per_fu": 0.00, "lattice_angstrom": [[-0.766, 3.558, -3.910], [-4.684, 1.374, 2.168], [2.450, 3.740, 2.923]], "species": ["Na", "Ir", "Na", "Sc", "Na"], "fractional_positions": [[0.500, 0.000, 0.000], [0.500, 0.500, 0.500], [0.000, 0.000, 0.500], [0.000, 0.000, 0.000], [0.000, 0.500, 0.000]]}

Entry 10:
{"formula": "NaSc2TaIr", "functional": "PBE", "state": "relaxed", "vol_a3_per_atom": 24.9, "energy_ev_per_fu": -30.7, "spacegroup": "P4/mmm, No. 123", "ef_ev_per_fu": 4.0, "magmom_total_mub_per_fu": 2.45, "lattice_angstrom": [[4.944, 0.000, 0.000], [0.000, 5.099, 0.000], [0.000, 0.000, 4.944]], "species": ["Sc", "Ta", "Na", "Ir", "Sc"], "fractional_positions": [[0.500, 0.000, 0.000], [0.500, 0.500, 0.500], [0.000, 0.500, 0.000], [0.000, 0.000, 0.000], [0.000, 0.000, 0.500]]}

Entry 11:
{"formula": "NaScTcIr2", "functional": "PBE", "state": "relaxed", "vol_a3_per_atom": 17.8, "energy_ev_per_fu": -27.3, "spacegroup": "P4/mmm, No. 123", "ef_ev_per_fu": 8.5, "magmom_total_mub_per_fu": 2.54, "lattice_angstrom": [[-3.404, 1.609, -2.540], [-2.632, -3.034, 1.606], [-1.184, 2.809, 3.366]], "species": ["Na", "Sc", "Ir", "Ir", "Tc"], "fractional_positions": [[0.000, 0.000, 0.000], [0.000, 0.500, 0.000], [0.000, 0.000, 0.500], [0.500, 0.000, 0.000], [0.500, 0.500, 0.500]]}

Entry 12:
{"formula": "NaIr4Se8", "functional": "PBE", "state": "relaxed", "e_form_raw_ev_per_atom": -0.4349, "vol_a3_per_atom": 21.5, "energy_ev_per_fu": -70.3, "spacegroup": "Cm, No. 8", "magmom_total_mub_per_fu": 0.00, "lattice_angstrom": [[-2.376, -1.958, -2.235], [5.098, -4.156, -5.016], [0.315, -8.594, 3.955]], "species": ["Ir", "Ir", "Na", "Se", "Se", "Se", "Se", "Se", "Se", "Se", "Ir", "Se", "Ir"], "fractional_positions": [[0.856, 0.492, 0.795], [0.644, 0.200, 0.511], [0.569, 0.953, 0.909], [0.790, 0.354, 0.066], [0.189, 0.005, 0.616], [0.109, 0.376, 0.406], [0.911, 0.638, 0.539], [0.550, 0.708, 0.191], [0.833, 0.011, 0.323], [0.232, 0.653, 0.883], [0.378, 0.816, 0.428], [0.473, 0.303, 0.751], [0.168, 0.513, 0.151]]}

Entry 13:
{"formula": "NaIrSe2", "functional": "PBE", "state": "relaxed", "e_form_raw_ev_per_atom": -0.3585, "vol_a3_per_atom": 24.1, "energy_ev_per_fu": -18.6, "spacegroup": "I-42d, No. 122", "magmom_total_mub_per_fu": 0.00, "lattice_angstrom": [[-5.725, 0.524, 5.147], [-4.495, -4.306, -4.561], [-4.034, -4.569, 1.762]], "species": ["Ir", "Ir", "Se", "Se", "Se", "Se", "Na", "Na"], "fractional_positions": [[0.000, 0.000, 0.000], [0.750, 0.250, 0.500], [0.875, 0.975, 0.750], [0.375, 0.275, 0.750], [0.025, 0.625, 0.250], [0.725, 0.125, 0.250], [0.250, 0.750, 0.500], [0.500, 0.500, 0.000]]}

Entry 14:
{"formula": "NaIr5Se8", "functional": "PBE", "state": "relaxed", "e_form_raw_ev_per_atom": -0.2750, "vol_a3_per_atom": 22.3, "energy_ev_per_fu": -77.3, "spacegroup": "Cm, No. 8", "magmom_total_mub_per_fu": 0.00, "lattice_angstrom": [[3.698, 0.000, -0.723], [-0.484, 8.404, -2.476], [0.045, -0.063, 10.049]], "species": ["Ir", "Se", "Ir", "Ir", "Se", "Se", "Ir", "Se", "Se", "Na", "Se", "Se", "Se", "Ir"], "fractional_positions": [[0.304, 0.682, 0.608], [0.183, 0.490, 0.366], [0.006, 0.006, 0.013], [0.705, 0.327, 0.410], [0.923, 0.182, 0.845], [0.825, 0.518, 0.650], [0.662, 0.962, 0.323], [0.769, 0.857, 0.539], [0.584, 0.131, 0.168], [0.437, 0.462, 0.874], [0.429, 0.876, 0.858], [0.086, 0.821, 0.173], [0.239, 0.146, 0.479], [0.347, 0.041, 0.695]]}

Entry 15:
{"formula": "Na2Ir3Se6", "functional": "PBE", "state": "relaxed", "e_form_raw_ev_per_atom": -0.4939, "vol_a3_per_atom": 22.8, "energy_ev_per_fu": -55.6, "spacegroup": "C2/m, No. 12", "magmom_total_mub_per_fu": 0.00, "lattice_angstrom": [[6.314, 0.000, 1.887], [3.157, 5.711, 0.943], [0.206, 0.000, 7.026]], "species": ["Na", "Se", "Se", "Ir", "Ir", "Na", "Se", "Se", "Ir", "Se", "Se"], "fractional_positions": [[0.166, 0.668, 0.500], [0.938, 0.667, 0.186], [0.062, 0.333, 0.814], [0.333, 0.335, 0.000], [0.000, 0.000, 0.000], [0.834, 0.332, 0.500], [0.729, 0.000, 0.812], [0.396, 0.667, 0.814], [0.667, 0.665, 0.000], [0.604, 0.333, 0.186], [0.271, 0.000, 0.188]]}

Entry 16:
{"formula": "NaIr2Se2", "functional": "PBE", "state": "relaxed", "e_form_raw_ev_per_atom": -0.0887, "vol_a3_per_atom": 20.6, "energy_ev_per_fu": -26.5, "spacegroup": "I4/mmm, No. 139", "magmom_total_mub_per_fu": 0.00, "lattice_angstrom": [[-1.811, -3.464, -0.862], [1.072, 0.394, -3.837], [5.085, -4.686, -1.149]], "species": ["Ir", "Na", "Se", "Ir", "Se"], "fractional_positions": [[0.750, 0.250, 0.500], [0.000, 0.000, 0.000], [0.632, 0.632, 0.737], [0.250, 0.750, 0.500], [0.368, 0.368, 0.263]]}

Entry 17:
{"formula": "NaIrSe2", "functional": "PBE", "state": "relaxed", "e_form_raw_ev_per_atom": 0.0129, "vol_a3_per_atom": 17.6, "energy_ev_per_fu": -17.1, "spacegroup": "Fm-3m, No. 225", "magmom_total_mub_per_fu": 0.00, "lattice_angstrom": [[0.000, 3.278, 3.278], [3.278, 0.000, 3.278], [3.278, 3.278, 0.000]], "species": ["Se", "Ir", "Se", "Na"], "fractional_positions": [[0.250, 0.250, 0.250], [0.500, 0.500, 0.500], [0.750, 0.750, 0.750], [0.000, 0.000, 0.000]]}

Entry 18:
{"formula": "Na2IrSe2", "functional": "PBE", "state": "relaxed", "e_form_raw_ev_per_atom": -0.4129, "vol_a3_per_atom": 21.1, "energy_ev_per_fu": -20.5, "spacegroup": "P4/mbm, No. 127", "magmom_total_mub_per_fu": 0.00, "lattice_angstrom": [[-6.125, 0.309, -2.746], [2.497, -2.246, -5.820], [-0.825, -4.403, 1.345]], "species": ["Se", "Na", "Se", "Ir", "Se", "Se", "Na", "Ir", "Na", "Na"], "fractional_positions": [[0.837, 0.663, 0.000], [0.663, 0.837, 0.500], [0.163, 0.337, 0.000], [0.500, 0.500, 0.000], [0.337, 0.837, 0.000], [0.663, 0.163, 0.000], [0.837, 0.337, 0.500], [0.000, 0.000, 0.000], [0.163, 0.663, 0.500], [0.337, 0.163, 0.500]]}

Entry 19:
{"formula": "Na2Ir2Se", "functional": "PBE", "state": "relaxed", "e_form_raw_ev_per_atom": 0.0874, "vol_a3_per_atom": 22.3, "energy_ev_per_fu": -23.4, "polymorph_energy_kj_per_mol_atoms": 0.0, "spacegroup": "I4/mmm, No. 139", "magmom_total_mub_per_fu": 0.00, "lattice_angstrom": [[-0.450, -3.019, -1.725], [2.209, -1.592, 2.209], [-6.053, -4.379, 5.679]], "species": ["Na", "Ir", "Ir", "Se", "Na"], "fractional_positions": [[0.600, 0.600, 0.800], [0.750, 0.250, 0.500], [0.250, 0.750, 0.500], [0.000, 0.000, 0.000], [0.400, 0.400, 0.200]]}

Entry 20:
{"formula": "Na2Ir2Se", "functional": "PBE", "state": "relaxed", "e_form_raw_ev_per_atom": 0.8736, "vol_a3_per_atom": 19.7, "energy_ev_per_fu": -19.5, "polymorph_energy_kj_per_mol_atoms": 75.9, "spacegroup": "P4/mbm, No. 127", "magmom_total_mub_per_fu": 0.00, "lattice_angstrom": [[-0.631, 7.981, -3.705], [-0.095, -3.721, -7.998], [-2.531, -0.153, 0.101]], "species": ["Na", "Ir", "Na", "Ir", "Se", "Se", "Na", "Ir", "Ir", "Na"], "fractional_positions": [[0.618, 0.118, 0.000], [0.821, 0.321, 0.500], [0.118, 0.382, 0.000], [0.179, 0.679, 0.500], [0.000, 0.000, 0.000], [0.500, 0.500, 0.000], [0.382, 0.882, 0.000], [0.321, 0.179, 0.500], [0.679, 0.821, 0.500], [0.882, 0.618, 0.000]]}